# 1
# PBE IrRhAu2, optimized geometry
data_IrRhAu2
_chemical_formula_sum 'Ir4 Rh4 Au8'
_cell_length_a 7.319
_cell_length_b 7.319
_cell_length_c 5.335
_cell_angle_alpha 90.00
_cell_angle_beta 90.00
_cell_angle_gamma 90.00
_symmetry_space_group_name_H-M 'I -4 2 d'
_symmetry_Int_Tables_number 122
_symmetry_space_group_name_Hall 'I -4 2bw'
loop_
_atom_site_label
_atom_site_fract_x
_atom_site_fract_y
_atom_site_fract_z
Ir1 0.000 0.000 0.000
Rh1 0.000 0.000 0.500
Au1 0.247 0.250 0.125
# DOS at the Fermi energy	23.30	states/eV/cell
# energy relative to the lowest polymorph listed for this composition	630.1	meV per atom
# calculated formation energy	0.77	eV per atom
# crystal system	tetragonal



# 2
# PBE CaAg5, optimized geometry
data_CaAg5
_chemical_formula_sum 'Ca2 Ag10'
_cell_length_a 4.829
_cell_length_b 3.232
_cell_length_c 15.335
_cell_angle_alpha 90.00
_cell_angle_beta 90.00
_cell_angle_gamma 90.00
_symmetry_space_group_name_H-M 'A m m 2'
_symmetry_Int_Tables_number 38
loop_
_symmetry_equiv_pos_as_xyz
'x,y,z'
'-x,-y,z'
'-x,y,z'
'x,-y,z'
'x,y+1/2,z+1/2'
'-x,-y+1/2,z+1/2'
'-x,y+1/2,z+1/2'
'x,-y+1/2,z+1/2'
loop_
_atom_site_label
_atom_site_fract_x
_atom_site_fract_y
_atom_site_fract_z
Ca1 0.000 0.000 0.000
Ag1 0.000 0.000 0.327
Ag2 0.000 0.000 0.673
Ag3 0.500 0.000 0.124
Ag4 0.500 0.000 0.444
Ag5 0.500 0.000 0.788
# DOS at the Fermi energy	3.81	states/eV/cell
# calculated formation energy	-0.04	eV per atom
# crystal system	orthorhombic



# 3
# PBE Nd2CdGa2Pt5, optimized geometry
data_Nd2CdGa2Pt5
_chemical_formula_sum 'Nd4 Cd2 Ga4 Pt10'
_cell_length_a 9.974
_cell_length_b 9.974
_cell_length_c 3.848
_cell_angle_alpha 90.00
_cell_angle_beta 90.00
_cell_angle_gamma 90.00
_symmetry_space_group_name_H-M 'P 4/m b m'
_symmetry_Int_Tables_number 127
_symmetry_space_group_name_Hall '-P 4 2ab'
loop_
_atom_site_label
_atom_site_fract_x
_atom_site_fract_y
_atom_site_fract_z
Nd1 0.178 0.322 0.000
Cd1 0.000 0.000 0.000
Ga1 0.120 0.620 0.000
Pt1 0.000 0.500 0.500
Pt2 0.063 0.787 0.500
# DOS at the Fermi energy	8.72	states/eV/cell
# calculated formation energy	-0.77	eV per atom
# crystal system	tetragonal



# 4
# PBE CaCd3Hg4, optimized geometry
data_CaCd3Hg4
_chemical_formula_sum 'Ca2 Cd6 Hg8'
_cell_length_a 9.583
_cell_length_b 8.489
_cell_length_c 4.791
_cell_angle_alpha 90.00
_cell_angle_beta 90.00
_cell_angle_gamma 90.00
_symmetry_space_group_name_H-M 'P m m a'
_symmetry_Int_Tables_number 51
loop_
_symmetry_equiv_pos_as_xyz
'x,y,z'
'-x,-y,-z'
'-x+1/2,-y,z'
'x+1/2,y,-z'
'x+1/2,-y,-z'
'-x+1/2,y,z'
'-x,y,-z'
'x,-y,z'
loop_
_atom_site_label
_atom_site_fract_x
_atom_site_fract_y
_atom_site_fract_z
Ca1 0.000 0.000 0.000
Cd1 0.000 0.500 0.000
Cd2 0.250 0.000 0.499
Cd3 0.250 0.500 0.498
Hg1 0.000 0.255 0.500
Hg2 0.250 0.255 0.999
# DOS at the Fermi energy	7.54	states/eV/cell
# energy relative to the lowest polymorph listed for this composition	0.0	meV per atom
# calculated formation energy	-0.18	eV per atom
# crystal system	orthorhombic



# 5
# PBE Sm4SbPb, optimized geometry
data_Sm4SbPb
_chemical_formula_sum 'Sm16 Sb4 Pb4'
_cell_length_a 9.138
_cell_length_b 14.233
_cell_length_c 6.399
_cell_angle_alpha 90.00
_cell_angle_beta 115.52
_cell_angle_gamma 90.00
_symmetry_space_group_name_H-M 'C 1 2/c 1'
_symmetry_Int_Tables_number 15
loop_
_symmetry_equiv_pos_as_xyz
'x,y,z'
'-x,-y,-z'
'-x,y,-z+1/2'
'x,-y,z+1/2'
'x+1/2,y+1/2,z'
'-x+1/2,-y+1/2,-z'
'-x+1/2,y+1/2,-z+1/2'
'x+1/2,-y+1/2,z+1/2'
loop_
_atom_site_label
_atom_site_fract_x
_atom_site_fract_y
_atom_site_fract_z
Sm1 0.109 0.189 0.074
Sm2 0.198 0.418 0.321
Sb1 0.000 0.003 0.750
Pb1 0.000 0.380 0.750
# DOS at the Fermi energy	29.96	states/eV/cell
# formation energy from raw total energies	-3.1	eV per formula unit
# crystal system	monoclinic



# 6
# PBE La2TbSmTl2, optimized geometry
data_La2TbSmTl2
_chemical_formula_sum 'La4 Tb2 Sm2 Tl4'
_cell_length_a 5.180
_cell_length_b 10.363
_cell_length_c 6.974
_cell_angle_alpha 90.00
_cell_angle_beta 90.00
_cell_angle_gamma 90.00
_symmetry_space_group_name_H-M 'P m c 21'
_symmetry_Int_Tables_number 26
loop_
_symmetry_equiv_pos_as_xyz
'x,y,z'
'-x,-y,z+1/2'
'-x,y,z'
'x,-y,z+1/2'
loop_
_atom_site_label
_atom_site_fract_x
_atom_site_fract_y
_atom_site_fract_z
La1 0.000 0.060 0.000
La2 0.500 0.177 0.224
Tb1 0.000 0.307 0.584
Sm1 0.500 0.457 0.870
Tl1 0.000 0.386 0.132
Tl2 0.500 0.148 0.708
# DOS at the Fermi energy	13.29	states/eV/cell
# calculated formation energy	-0.29	eV per atom
# crystal system	orthorhombic



# 7
# PBE DyLu2Bi, optimized geometry
data_DyLu2Bi
_chemical_formula_sum 'Dy3 Lu6 Bi3'
_cell_length_a 3.5050
_cell_length_b 3.5050
_cell_length_c 35.4051
_cell_angle_alpha 90.00
_cell_angle_beta 90.00
_cell_angle_gamma 120.00
_symmetry_space_group_name_H-M 'R -3 m'
_symmetry_Int_Tables_number 166
_symmetry_space_group_name_Hall '-R 3 2"'
loop_
_atom_site_label
_atom_site_fract_x
_atom_site_fract_y
_atom_site_fract_z
Dy1 0.0000 0.0000 0.0000
Lu1 0.0000 0.0000 0.4119
Bi1 0.0000 0.0000 0.5000
# DOS at the Fermi energy	12.05	states/eV/cell
# energy relative to the lowest polymorph listed for this composition	348.5	meV per atom
# calculated formation energy	0.05	eV per atom
# crystal system	trigonal



# 8
# PBE LaNdAu, optimized geometry
data_LaNdAu
_chemical_formula_sum 'La1 Nd1 Au1'
_cell_length_a 5.0188
_cell_length_b 5.0188
_cell_length_c 3.9856
_cell_angle_alpha 90.00
_cell_angle_beta 90.00
_cell_angle_gamma 120.00
_symmetry_space_group_name_H-M 'P 3 m 1'
_symmetry_Int_Tables_number 156
loop_
_symmetry_equiv_pos_as_xyz
'x,y,z'
'-y,x-y,z'
'-x+y,-x,z'
'-y,-x,z'
'-x+y,y,z'
'x,x-y,z'
loop_
_atom_site_label
_atom_site_fract_x
_atom_site_fract_y
_atom_site_fract_z
La1 0.0000 0.0000 0.0000
Nd1 0.3333 0.6667 0.4195
Au1 0.6667 0.3333 0.6751
# DOS at the Fermi energy	2.01	states/eV/cell
# energy relative to the lowest polymorph listed for this composition	126.2	meV per atom
# calculated formation energy	-0.39	eV per atom
# crystal system	trigonal



Which uncorrected energy belongs to each record? In order, -0.3616, -0.2023, -0.3996, -0.0680, -0.3649, -0.3145, -0.3181, -0.3467 Ry per atom.